Dy3TaO7 after structural relaxation, computed with PBE.

Summary:
Energy relative to the elements, uncorrected (eV/atom): -3.4130
Crystal system: orthorhombic

a = 7.441 Å, b = 7.575 Å, c = 10.588 Å
α = 90.00°, β = 90.00°, γ = 90.00°
Sites, in units of the cell vectors:
Dy: 0.984 0.203 0.750
Dy: 0.484 0.297 0.750
Dy: 0.752 0.534 0.979
Dy: 0.752 0.534 0.521
Dy: 0.248 0.466 0.021
Dy: 0.252 0.966 0.521
Dy: 0.248 0.466 0.479
Dy: 0.516 0.703 0.250
Dy: 0.748 0.034 0.021
Dy: 0.748 0.034 0.479
Dy: 0.252 0.966 0.979
Dy: 0.016 0.797 0.250
O: 0.758 0.768 0.384
O: 0.742 0.268 0.616
O: 0.962 0.954 0.875
O: 0.542 0.909 0.890
O: 0.742 0.268 0.884
O: 0.042 0.591 0.610
O: 0.242 0.232 0.616
O: 0.542 0.909 0.610
O: 0.248 0.337 0.250
O: 0.038 0.046 0.375
O: 0.758 0.768 0.116
O: 0.538 0.454 0.375
O: 0.462 0.546 0.625
O: 0.748 0.163 0.250
O: 0.458 0.091 0.390
O: 0.242 0.232 0.884
O: 0.962 0.954 0.625
O: 0.458 0.091 0.110
O: 0.462 0.546 0.875
O: 0.958 0.409 0.390
O: 0.752 0.663 0.750
O: 0.042 0.591 0.890
O: 0.258 0.732 0.116
O: 0.038 0.046 0.125
O: 0.258 0.732 0.384
O: 0.958 0.409 0.110
O: 0.538 0.454 0.125
O: 0.252 0.837 0.750
Ta: 0.498 0.750 0.750
Ta: 0.998 0.750 0.750
Ta: 0.502 0.250 0.250
Ta: 0.002 0.250 0.250


TaTe2P after structural relaxation, computed with PBE.

Summary:
Energy relative to the elements, uncorrected (eV/atom): 0.1142
Crystal system: monoclinic

a = 4.483 Å, b = 4.836 Å, c = 5.106 Å
α = 66.13°, β = 90.00°, γ = 90.00°
Sites, in units of the cell vectors:
P: 0.000 0.489 0.344
Ta: 0.500 0.284 0.340
Te: 0.000 0.059 0.103
Te: 0.500 0.668 0.713


Pa2BeMoN5 after structural relaxation, computed with PBE.

Summary:
Energy relative to the elements, uncorrected (eV/atom): -1.1249
Crystal system: orthorhombic

a = 3.229 Å, b = 6.760 Å, c = 9.608 Å
α = 90.00°, β = 90.00°, γ = 103.82°
Sites, in units of the cell vectors:
N: 0.961 0.923 0.536
N: 0.307 0.615 0.359
N: 0.039 0.077 0.036
N: 0.703 0.406 0.155
N: 0.640 0.279 0.507
N: 0.297 0.594 0.655
N: 0.693 0.385 0.859
N: 0.503 0.006 0.289
N: 0.360 0.721 0.007
N: 0.497 0.994 0.789
Pa: 0.130 0.261 0.305
Pa: 0.870 0.739 0.805
Pa: 0.881 0.762 0.192
Pa: 0.119 0.238 0.692
Mo: 0.197 0.393 0.003
Mo: 0.803 0.607 0.503
Be: 0.506 0.011 0.977
Be: 0.494 0.989 0.477


ThBeS2 after structural relaxation, computed with PBE.

Summary:
Energy relative to the elements, uncorrected (eV/atom): -0.4788
Crystal system: trigonal

a = 3.612 Å, b = 3.612 Å, c = 7.907 Å
α = 76.80°, β = 76.80°, γ = 60.00°
Sites, in units of the cell vectors:
Be: 0.500 0.500 0.500
S: 0.884 0.884 0.347
S: 0.116 0.116 0.653
Th: 0.000 0.000 0.000


Pm2CoCu after structural relaxation, computed with PBE.

Summary:
Crystal system: monoclinic
Formation energy from the elements (meV/atom): -147

a = 4.274 Å, b = 5.663 Å, c = 7.784 Å
α = 110.48°, β = 90.00°, γ = 90.00°
Sites, in units of the cell vectors:
Pm: 0.750 0.217 0.436
Pm: 0.750 0.227 0.925
Pm: 0.250 0.773 0.075
Pm: 0.250 0.783 0.564
Cu: 0.250 0.360 0.216
Cu: 0.750 0.640 0.784
Co: 0.250 0.363 0.718
Co: 0.750 0.637 0.282


NaCaIN2 after structural relaxation, computed with PBE.

Summary:
Energy relative to the elements, uncorrected (eV/atom): 0.5785
Crystal system: tetragonal

a = 4.777 Å, b = 4.777 Å, c = 6.458 Å
α = 90.00°, β = 90.00°, γ = 90.00°
Sites, in units of the cell vectors:
Ca: 0.000 0.000 0.000
N: 0.500 0.000 0.000
N: 0.000 0.500 0.000
I: 0.000 0.000 0.500
Na: 0.500 0.500 0.500


no.,DOS(E_F) (states/eV/cell)
1,0.0
2,2.8
3,10.6
4,1.5
5,5.6
6,2.6